Entry from the Alexandria database: an optimized crystal structure of KHfRu2W (PBE).

a b c (Å): 4.7339 4.9094 4.7339
angles (deg): 90.00 90.00 90.00
With the nearest neighbours (Å) after each atom.
Fractional positions:
Hf (0.0000, 0.0000, 0.0000)  4 Ru 2.37, 2 K 2.45
W (0.5000, 0.5000, 0.5000)  4 K 3.35, 8 Ru 3.41
Ru (0.5000, 0.0000, 0.0000)  2 Hf 2.37
Ru (0.0000, 0.0000, 0.5000)  2 Hf 2.37
K (0.0000, 0.5000, 0.0000)  2 Hf 2.45

## Properties
space-group type = P4/mmm, No. 123
energy relative to the elements = 228.0 kJ per mole of atoms
total energy = -0.45184 Ry per atom
density of states at the Fermi level = 1.5165 states/eV per atom
magnetization = 0.0152 μB per atom